(1)
! Dy2Y2CCl3F2 | the Open Quantum Materials Database | PBE | relaxed; values from VASP
! * symmetry: C2/m
! * E_tot: -6.144 eV/atom
&SYSTEM
  ibrav = 0, nat = 10, ntyp = 5
/
ATOMIC_SPECIES
Dy 162.50 Dy.upf
Y 88.91 Y.upf
Cl 35.45 Cl.upf
C 12.01 C.upf
F 19.00 F.upf
CELL_PARAMETERS angstrom
7.6920 -1.8311 0.0000
7.6920 1.8311 0.0000
-1.9502 0.0000 7.5165
ATOMIC_POSITIONS crystal
Dy 0.6576 0.6576 0.0869
Dy 0.3424 0.3424 0.9131
Y 0.9932 0.9932 0.2074
Y 0.0068 0.0068 0.7926
Cl 0.5000 0.5000 0.5000
Cl 0.8218 0.8218 0.6566
Cl 0.1782 0.1782 0.3434
C 0.5000 0.5000 0.0000
F 0.8221 0.8221 0.0942
F 0.1779 0.1779 0.9058

(2)
! GdDyCCl2 | the Open Quantum Materials Database | PBE | relaxed; values from VASP
! * symmetry: P3m1
! * E_tot: -5.942 eV/atom
&SYSTEM
  ibrav = 0, nat = 5, ntyp = 4
/
ATOMIC_SPECIES
Cl 35.45 Cl.upf
Gd 157.25 Gd.upf
Dy 162.50 Dy.upf
C 12.01 C.upf
CELL_PARAMETERS angstrom
3.7371 0.0000 0.0000
-1.8685 3.2364 0.0000
0.0000 0.0000 9.7100
ATOMIC_POSITIONS crystal
Cl 0.3333 0.6667 0.1806
Cl 0.6667 0.3333 0.8221
Gd 0.3333 0.6667 0.6400
Dy 0.6667 0.3333 0.3594
C 0.0000 0.0000 0.4979

(3)
! DyH17C6Cl3O7 | the Open Quantum Materials Database | PBE | relaxed; values from VASP
! * symmetry: P-1
! * E_tot: -5.450 eV/atom
&SYSTEM
  ibrav = 0, nat = 68, ntyp = 5
/
ATOMIC_SPECIES
H 1.01 H.upf
O 16.00 O.upf
Cl 35.45 Cl.upf
C 12.01 C.upf
Dy 162.50 Dy.upf
CELL_PARAMETERS angstrom
6.9563 0.0000 0.0000
3.3487 7.9457 0.0000
2.7760 3.3397 11.5138
ATOMIC_POSITIONS crystal
H 0.0236 0.4707 0.2388
H 0.2210 0.9457 0.5912
H 0.1752 0.0821 0.2026
H 0.6446 0.7680 0.5880
H 0.7854 0.6007 0.4607
H 0.2564 0.8897 0.9595
H 0.0233 0.2901 0.3310
H 0.8248 0.9179 0.7974
H 0.5639 0.7048 0.3255
H 0.7436 0.1103 0.0405
H 0.5219 0.9528 0.3379
H 0.0035 0.3084 0.0455
H 0.9851 0.1276 0.6834
H 0.1521 0.5488 0.3984
H 0.8478 0.4512 0.6016
H 0.8706 0.8251 0.1756
H 0.5915 0.7009 0.9021
H 0.3162 0.6764 0.4849
H 0.1248 0.0011 0.0997
H 0.4607 0.9815 0.9027
H 0.7790 0.0543 0.4088
H 0.9965 0.6916 0.9545
H 0.3554 0.2320 0.4120
H 0.8752 0.9989 0.9003
H 0.6838 0.3236 0.5151
H 0.1294 0.1749 0.8244
H 0.4361 0.2952 0.6745
H 0.5393 0.0185 0.0973
H 0.4781 0.0472 0.6621
H 0.4085 0.2991 0.0979
H 0.2146 0.3993 0.5393
H 0.9767 0.7099 0.6690
H 0.9764 0.5293 0.7612
H 0.0149 0.8724 0.3166
O 0.3574 0.1401 0.6891
O 0.0815 0.7500 0.8895
O 0.4897 0.7728 0.8439
O 0.0704 0.5947 0.7113
O 0.4905 0.3950 0.6592
O 0.9296 0.4053 0.2887
O 0.6426 0.8599 0.3109
O 0.4170 0.3262 0.3979
O 0.5095 0.6050 0.3408
O 0.7885 0.1136 0.3230
O 0.9185 0.2500 0.1105
O 0.2115 0.8864 0.6770
O 0.5103 0.2272 0.1561
O 0.5830 0.6738 0.6021
Cl 0.7245 0.6670 0.0570
Cl 0.2299 0.0596 0.4257
Cl 0.2429 0.5986 0.1524
Cl 0.7571 0.4014 0.8476
Cl 0.7701 0.9404 0.5743
Cl 0.2755 0.3330 0.9430
C 0.2301 0.0668 0.7867
C 0.7699 0.9332 0.2133
C 0.7204 0.5406 0.5474
C 0.6406 0.0724 0.1190
C 0.5855 0.4426 0.5421
C 0.4145 0.5574 0.4579
C 0.3594 0.9276 0.8810
C 0.0862 0.0109 0.7416
C 0.9486 0.9241 0.8360
C 0.2796 0.4594 0.4526
C 0.9138 0.9891 0.2584
C 0.0514 0.0759 0.1640
Dy 0.6276 0.4070 0.2234
Dy 0.3724 0.5930 0.7766

(4)
! DyHfCCl2 | the Open Quantum Materials Database | PBE | relaxed; values from VASP
! * symmetry: P3m1
! * E_tot: -6.977 eV/atom
&SYSTEM
  ibrav = 0, nat = 5, ntyp = 4
/
ATOMIC_SPECIES
Cl 35.45 Cl.upf
Dy 162.50 Dy.upf
C 12.01 C.upf
Hf 178.49 Hf.upf
CELL_PARAMETERS angstrom
-0.5207 2.8648 -1.9543
-2.7208 -2.0095 0.9255
-1.1448 5.2028 7.9315
ATOMIC_POSITIONS crystal
Cl 0.6667 0.3333 0.8142
Cl 0.3333 0.6667 0.1715
Dy 0.6667 0.3333 0.3635
C 0.0000 0.0000 0.5188
Hf 0.3333 0.6667 0.6320

(5)
! Dy2Ho2CCl5 | the Open Quantum Materials Database | PBE | relaxed; values from VASP
! * symmetry: C2/m
! * E_tot: -5.379 eV/atom
&SYSTEM
  ibrav = 0, nat = 10, ntyp = 4
/
ATOMIC_SPECIES
Ho 164.93 Ho.upf
Cl 35.45 Cl.upf
C 12.01 C.upf
Dy 162.50 Dy.upf
CELL_PARAMETERS angstrom
8.4783 -1.8534 0.0000
8.4783 1.8534 0.0000
-1.8244 0.0000 7.5562
ATOMIC_POSITIONS crystal
Ho 0.0011 0.0011 0.7903
Ho 0.9989 0.9989 0.2097
Cl 0.8361 0.8361 0.6610
Cl 0.8292 0.8292 0.1622
Cl 0.1708 0.1708 0.8378
Cl 0.5000 0.5000 0.5000
Cl 0.1639 0.1639 0.3390
C 0.5000 0.5000 0.0000
Dy 0.6446 0.6446 0.0798
Dy 0.3554 0.3554 0.9202

(6)
! Dy2Ho2CCl5 | the Open Quantum Materials Database | PBE | relaxed; values from VASP
! * symmetry: C2/m
! * E_tot: -5.379 eV/atom
&SYSTEM
  ibrav = 0, nat = 10, ntyp = 4
/
ATOMIC_SPECIES
Ho 164.93 Ho.upf
Cl 35.45 Cl.upf
Dy 162.50 Dy.upf
C 12.01 C.upf
CELL_PARAMETERS angstrom
-4.2316 0.8200 -7.5270
-6.9633 -0.0353 -5.1716
0.1212 7.2618 2.7777
ATOMIC_POSITIONS crystal
Ho 0.6444 0.6444 0.0798
Ho 0.3556 0.3556 0.9202
Cl 0.8360 0.8360 0.6614
Cl 0.1640 0.1640 0.3386
Cl 0.5000 0.5000 0.5000
Cl 0.1710 0.1710 0.8382
Cl 0.8290 0.8290 0.1618
Dy 0.0011 0.0011 0.7897
Dy 0.9989 0.9989 0.2103
C 0.5000 0.5000 0.0000

(7)
! Dy4CICl4 | the Open Quantum Materials Database | PBE | relaxed; values from VASP
! * symmetry: C2/m
! * E_tot: -5.236 eV/atom
&SYSTEM
  ibrav = 0, nat = 10, ntyp = 4
/
ATOMIC_SPECIES
Cl 35.45 Cl.upf
I 126.90 I.upf
C 12.01 C.upf
Dy 162.50 Dy.upf
CELL_PARAMETERS angstrom
8.4826 -1.9014 0.0000
8.4826 1.9014 0.0000
-2.0433 0.0000 8.2238
ATOMIC_POSITIONS crystal
Cl 0.1713 0.1713 0.8565
Cl 0.8346 0.8346 0.6908
Cl 0.1654 0.1654 0.3092
Cl 0.8287 0.8287 0.1435
I 0.5000 0.5000 0.5000
C 0.5000 0.5000 0.0000
Dy 0.6446 0.6446 0.0750
Dy 0.3554 0.3554 0.9250
Dy 0.0009 0.0009 0.8085
Dy 0.9991 0.9991 0.1915

(8)
! Nd2Dy2CI2Cl3 | the Open Quantum Materials Database | PBE | relaxed; values from VASP
! * symmetry: C2/m
! * E_tot: -5.098 eV/atom
&SYSTEM
  ibrav = 0, nat = 10, ntyp = 5
/
ATOMIC_SPECIES
Cl 35.45 Cl.upf
Nd 144.24 Nd.upf
C 12.01 C.upf
I 126.90 I.upf
Dy 162.50 Dy.upf
CELL_PARAMETERS angstrom
8.9717 -1.9582 0.0000
8.9717 1.9582 0.0000
-1.4486 0.0000 8.0884
ATOMIC_POSITIONS crystal
Cl 0.5000 0.5000 0.5000
Cl 0.1733 0.1733 0.8574
Cl 0.8267 0.8267 0.1426
Nd 0.9938 0.9938 0.2105
Nd 0.0062 0.0062 0.7895
C 0.5000 0.5000 0.0000
I 0.1701 0.1701 0.3507
I 0.8299 0.8299 0.6493
Dy 0.6359 0.6359 0.0650
Dy 0.3641 0.3641 0.9350

| no. | ρ (g cm⁻³) |
| --- | --- |
| 1 | 5.2 |
| 2 | 5.7 |
| 3 | 2.5 |
| 4 | 6.9 |
| 5 | 5.9 |
| 6 | 5.9 |
| 7 | 5.8 |
| 8 | 5.8 |